1.
DFT (GGA-PBEsol) results for a geometry-optimized DyInCo4 structure.

Structure (CIF):
```
data_DyInCo4
_chemical_formula_sum 'Dy4 In4 Co16'
_space_group_name_H-M_alt 'F -4 3 m'
_space_group_IT_number 216
_space_group_name_Hall 'F -4 2 3'
_cell_length_a 6.927
_cell_length_b 6.927
_cell_length_c 6.927
_cell_angle_alpha 90.00
_cell_angle_beta 90.00
_cell_angle_gamma 90.00
loop_
_atom_site_label
_atom_site_fract_x
_atom_site_fract_y
_atom_site_fract_z
Dy1 0.000 0.000 0.000
In1 0.250 0.250 0.250
Co1 0.124 0.124 0.624
```

Summary:
total magnetic moment	4.21	μB per formula unit
V	332.4	Å³/cell
calculated formation energy	-0.16	eV per atom

---

2.
DFT (GGA-PBEsol) results for a geometry-optimized BaCuIr3 structure.

Structure (CIF):
```
data_BaCuIr3
_chemical_formula_sum 'Ba1 Cu1 Ir3'
_space_group_name_H-M_alt 'P m -3 m'
_space_group_IT_number 221
_space_group_name_Hall '-P 4 2 3'
_cell_length_a 5.006
_cell_length_b 5.006
_cell_length_c 5.006
_cell_angle_alpha 90.00
_cell_angle_beta 90.00
_cell_angle_gamma 90.00
loop_
_atom_site_label
_atom_site_fract_x
_atom_site_fract_y
_atom_site_fract_z
Ba1 0.000 0.000 0.000
Cu1 0.500 0.500 0.500
Ir1 0.000 0.000 0.500
```

Summary:
total magnetic moment	1.29	μB per formula unit
V	125.4	Å³/cell
calculated formation energy	3.23	eV per atom